# 1
A plane-wave DFT calculation with PBE was carried out for a relaxed structure of BaPrNO.

```
BaPrNO
1.0
-0.223 4.283 -5.888
-8.487 -1.003 -0.408
-0.730 4.759 3.489
Ba N O Pr
4 4 4 4
Cartesian
-1.173 0.280 -0.487
-7.482 1.689 -3.729
-1.613 4.102 -0.726
-7.922 5.511 -3.969
-3.639 3.995 -5.088
-5.300 1.644 -2.229
-3.937 5.070 -1.550
-5.597 2.719 1.309
-1.357 2.046 -2.394
-7.534 3.470 -5.630
-1.639 2.828 1.546
-7.816 4.253 -1.690
-3.401 2.172 -3.566
-5.251 -0.201 -0.717
-3.839 5.962 -3.761
-5.690 3.589 -0.911
```

## Properties
- SG = Pca2_1, No. 29
- spin magnetization (μB per atom) = 0.000
- DFT total energy (eV for the cell shown) = -109.22

***

# 2
A plane-wave DFT calculation with PBE was carried out for a relaxed structure of BPtW.

```
BPtW
1.0
0.000 2.846 2.846
2.846 0.000 2.846
2.846 2.846 0.000
B Pt W
1 1 1
Cartesian
1.423 1.423 1.423
0.000 0.000 0.000
4.269 4.269 4.269
```

## Properties
- SG = F-43m, No. 216
- spin magnetization (μB per atom) = 0.067
- DFT total energy (eV for the cell shown) = -23.34

***

# 3
A plane-wave DFT calculation with PBE was carried out for a relaxed structure of BeFeCu2.

```
BeFeCu2
1.0
2.706 -1.240 2.567
-0.910 -2.781 2.625
1.531 -3.604 -0.344
Be Cu Fe
1 2 1
Cartesian
1.663 -3.812 2.424
0.000 0.000 0.000
2.495 -5.718 3.636
0.832 -1.906 1.212
```

## Properties
- SG = F-43m, No. 216
- spin magnetization (μB per atom) = 0.598
- DFT total energy (eV for the cell shown) = -18.97

***

# 4
A plane-wave DFT calculation with PBE was carried out for a relaxed structure of BaPaAl.

```
BaPaAl
1.0
-5.069 -0.380 -1.298
-3.692 1.690 3.322
-2.753 4.324 -1.116
Al Ba Pa
1 1 1
Cartesian
0.000 0.000 0.000
-2.879 1.408 0.227
-8.636 4.225 0.681
```

## Properties
- SG = F-43m, No. 216
- spin magnetization (μB per atom) = 0.547
- DFT total energy (eV for the cell shown) = -12.76